(1)
SOF3 PBE optimized geometry; raw formation energy = -0.112 eV/f.u.; density of states at the Fermi level = 8.619 states/eV per cell
1.0
3.9951 0.0000 0.0000
0.0000 3.9951 0.0000
0.0000 0.0000 3.9951
S O F
1 1 3
direct
0.0000 0.0000 0.0000 S
0.5000 0.5000 0.5000 O
0.0000 0.0000 0.5000 F
0.0000 0.5000 0.0000 F
0.5000 0.0000 0.0000 F



(2)
PPt3F PBE optimized geometry; raw formation energy = 0.774 eV/f.u.; density of states at the Fermi level = 2.066 states/eV per cell
1.0
4.4740 0.0000 0.0000
0.0000 4.4740 0.0000
0.0000 0.0000 4.4740
P Pt F
1 3 1
direct
0.0000 0.0000 0.0000 P
0.0000 0.0000 0.5000 Pt
0.0000 0.5000 0.0000 Pt
0.5000 0.0000 0.0000 Pt
0.5000 0.5000 0.5000 F



(3)
NdGe3 PBE optimized geometry; formation energy = -0.173 eV/atom; density of states at the Fermi level = 1.888 states/eV per cell
1.0
-2.0876 2.0876 5.6255
2.0876 -2.0876 5.6255
2.0876 2.0876 -5.6255
Nd Ge
1 3
direct
0.0000 0.0000 0.0000 Nd
0.2804 0.2804 0.0000 Ge
0.5000 0.5000 0.0000 Ge
0.7196 0.7196 0.0000 Ge



(4)
SrSiPb PBE optimized geometry; raw formation energy = 0.946 eV/f.u.; density of states at the Fermi level = 0.438 states/eV per cell
1.0
0.0000 3.6816 3.6816
3.6816 0.0000 3.6816
3.6816 3.6816 0.0000
Sr Si Pb
1 1 1
direct
0.0000 0.0000 0.0000 Sr
0.2500 0.2500 0.2500 Si
0.7500 0.7500 0.7500 Pb



(5)
AcCeErTm PBE optimized geometry; formation energy = 0.170 eV/atom; density of states at the Fermi level = 9.495 states/eV per cell
1.0
0.0000 4.0936 4.0936
4.0936 0.0000 4.0936
4.0936 4.0936 0.0000
Ac Ce Er Tm
1 1 1 1
direct
0.0000 0.0000 0.0000 Ac
0.5000 0.5000 0.5000 Ce
0.2500 0.2500 0.2500 Er
0.7500 0.7500 0.7500 Tm



(6)
KRhPb2 PBE optimized geometry; formation energy = -0.045 eV/atom; density of states at the Fermi level = 5.553 states/eV per cell
1.0
2.2127 1.2775 7.2545
-2.2127 1.2775 7.2545
0.0000 -2.5550 7.2545
K Rh Pb
1 1 2
direct
0.0000 0.0000 0.0000 K
0.5000 0.5000 0.5000 Rh
0.2185 0.2185 0.2185 Pb
0.7815 0.7815 0.7815 Pb



(7)
Zn2RuCl PBE optimized geometry; raw formation energy = 1.303 eV/f.u.; density of states at the Fermi level = 3.200 states/eV per cell
1.0
4.5730 0.0000 0.0000
0.0000 3.0343 0.0000
-1.5552 0.0000 4.4326
Zn Ru Cl
2 1 1
direct
0.0000 0.0000 0.0000 Zn
0.5000 0.5000 0.0000 Zn
0.0000 0.5000 0.5000 Ru
0.5000 0.0000 0.5000 Cl



(8)
SrRu2Rh PBE optimized geometry; formation energy = 0.694 eV/atom; density of states at the Fermi level = 6.860 states/eV per cell
1.0
-2.1686 2.1686 3.7320
2.1686 -2.1686 3.7320
2.1686 2.1686 -3.7320
Sr Ru Rh
1 2 1
direct
0.0000 0.0000 0.0000 Sr
0.5000 0.5000 0.0000 Ru
0.7500 0.2500 0.5000 Ru
0.2500 0.7500 0.5000 Rh



(9)
Th4TcTeS2 PBE optimized geometry; raw formation energy = -9.014 eV/f.u.; density of states at the Fermi level = 6.020 states/eV per cell
1.0
7.1769 0.0000 0.0000
0.0000 4.0962 0.0000
-2.3987 0.0000 7.2503
Th Tc Te S
4 1 1 2
direct
0.2310 0.0000 0.2181 Th
0.2589 0.5000 0.7781 Th
0.7411 0.5000 0.2219 Th
0.7690 0.0000 0.7819 Th
0.5000 0.0000 0.0000 Tc
0.5000 0.5000 0.5000 Te
0.0000 0.0000 0.5000 S
0.0000 0.5000 0.0000 S



(10)
LiMgSc2 PBE optimized geometry; formation energy = 0.067 eV/atom; density of states at the Fermi level = 5.275 states/eV per cell
1.0
1.5983 0.9228 10.6579
-1.5983 0.9228 10.6579
0.0000 -1.8456 10.6579
Li Mg Sc
1 1 2
direct
0.0000 0.0000 0.0000 Li
0.2528 0.2528 0.2528 Mg
0.4194 0.4194 0.4194 Sc
0.8338 0.8338 0.8338 Sc



(11)
Tc3BSe PBE optimized geometry; raw formation energy = 2.472 eV/f.u.; density of states at the Fermi level = 4.266 states/eV per cell
1.0
4.1608 0.0000 0.0000
0.0000 4.1608 0.0000
0.0000 0.0000 4.1608
Tc B Se
3 1 1
direct
0.0000 0.0000 0.5000 Tc
0.0000 0.5000 0.0000 Tc
0.5000 0.0000 0.0000 Tc
0.0000 0.0000 0.0000 B
0.5000 0.5000 0.5000 Se



(12)
Mg5Ir2Rh PBE optimized geometry; formation energy = -0.334 eV/atom; density of states at the Fermi level = 4.116 states/eV per cell
1.0
5.5083 0.0000 0.0000
0.0000 10.7380 0.0000
0.0000 0.0000 4.3861
Mg Ir Rh
10 4 2
direct
0.0000 0.0000 0.0000 Mg
0.1126 0.2639 0.0000 Mg
0.1683 0.6076 0.5000 Mg
0.3317 0.1076 0.5000 Mg
0.3874 0.7639 0.0000 Mg
0.5000 0.5000 0.0000 Mg
0.6126 0.2361 0.0000 Mg
0.6683 0.8924 0.5000 Mg
0.8317 0.3924 0.5000 Mg
0.8874 0.7361 0.0000 Mg
0.1634 0.8645 0.5000 Ir
0.3366 0.3645 0.5000 Ir
0.6634 0.6355 0.5000 Ir
0.8366 0.1355 0.5000 Ir
0.0000 0.5000 0.0000 Rh
0.5000 0.0000 0.0000 Rh